VASP calculation (PBE+U) on a relaxed structure of Mn2AlF.

Cell: 6.4672 6.4672 6.4672 Å, 90.00 90.00 90.00°
Closest atoms and distances in Å follow each position.
Sites, in units of the cell vectors:
Mn 0.2500 0.2500 0.2500  4 F 2.80, 4 Al 2.80
Mn 0.2500 0.2500 0.7500  4 Al 2.80, 4 F 2.80
Mn 0.2500 0.7500 0.2500  4 Al 2.80, 4 F 2.80
Mn 0.2500 0.7500 0.7500  4 F 2.80, 4 Al 2.80
Mn 0.7500 0.2500 0.2500  4 Al 2.80, 4 F 2.80
Mn 0.7500 0.2500 0.7500  4 F 2.80, 4 Al 2.80
Mn 0.7500 0.7500 0.2500  4 F 2.80, 4 Al 2.80
Mn 0.7500 0.7500 0.7500  4 Al 2.80, 4 F 2.80
Al 0.0000 0.0000 0.0000  8 Mn 2.80
Al 0.0000 0.5000 0.5000  8 Mn 2.80
Al 0.5000 0.0000 0.5000  8 Mn 2.80
Al 0.5000 0.5000 0.0000  8 Mn 2.80
F 0.0000 0.0000 0.5000  8 Mn 2.80
F 0.0000 0.5000 0.0000  8 Mn 2.80
F 0.5000 0.0000 0.0000  8 Mn 2.80
F 0.5000 0.5000 0.5000  8 Mn 2.80

* polymorph energy (0 for the lowest one): 222.9 meV per atom